# 1
! PBE Ge2NClO, optimized geometry; values from VASP
! Electronic total energy (eV per formula unit): -20.26
! Raw formation energy (eV per atom): 0.8215
&SYSTEM
  ibrav = 0, nat = 5, ntyp = 4
/
ATOMIC_SPECIES
Ge 72.64 Ge.upf
N 14.01 N.upf
Cl 35.45 Cl.upf
O 16.00 O.upf
CELL_PARAMETERS angstrom
4.485 0.000 0.000
0.000 4.485 0.000
0.000 0.000 4.008
ATOMIC_POSITIONS angstrom
Ge 0.000 2.242 0.000
Ge 2.242 0.000 0.000
N 0.000 0.000 0.000
Cl 0.000 0.000 2.004
O 2.242 2.242 2.004



# 2
! PBE GeOsN2Cl, optimized geometry; values from VASP
! Electronic total energy (eV per formula unit): -32.49
! Raw formation energy (eV per atom): 0.3709
&SYSTEM
  ibrav = 0, nat = 5, ntyp = 4
/
ATOMIC_SPECIES
Ge 72.64 Ge.upf
Os 190.23 Os.upf
N 14.01 N.upf
Cl 35.45 Cl.upf
CELL_PARAMETERS angstrom
3.797 0.000 0.000
0.000 3.797 0.000
0.000 0.000 5.434
ATOMIC_POSITIONS angstrom
Ge 0.000 0.000 0.000
Os 0.000 0.000 2.717
N 0.000 1.898 2.717
N 1.898 0.000 2.717
Cl 1.898 1.898 0.000



# 3
! PBE GePd2NCl, optimized geometry; values from VASP
! Electronic total energy (eV per formula unit): -19.03
! Raw formation energy (eV per atom): 1.2287
&SYSTEM
  ibrav = 0, nat = 5, ntyp = 4
/
ATOMIC_SPECIES
Ge 72.64 Ge.upf
Pd 106.42 Pd.upf
N 14.01 N.upf
Cl 35.45 Cl.upf
CELL_PARAMETERS angstrom
4.758 0.000 0.000
0.000 4.758 0.000
0.000 0.000 5.115
ATOMIC_POSITIONS angstrom
Ge 0.000 0.000 0.000
Pd 0.000 2.379 0.000
Pd 2.379 0.000 0.000
N 2.379 2.379 2.558
Cl 0.000 0.000 2.558



# 4
! PBE Pm6GeN2Cl3, optimized geometry; values from VASP
! Electronic total energy (eV per formula unit): -72.16
! Raw formation energy (eV per atom): -1.4040
&SYSTEM
  ibrav = 0, nat = 12, ntyp = 4
/
ATOMIC_SPECIES
Pm 145.00 Pm.upf
Ge 72.64 Ge.upf
N 14.01 N.upf
Cl 35.45 Cl.upf
CELL_PARAMETERS angstrom
9.053 -1.925 0.000
9.053 1.925 0.000
-2.717 0.000 7.841
ATOMIC_POSITIONS angstrom
Pm -0.170 0.000 2.033
Pm 4.509 0.000 3.511
Pm 3.680 0.000 6.763
Pm 11.710 0.000 1.078
Pm 10.880 0.000 4.329
Pm 15.560 0.000 5.807
Ge 9.053 0.000 0.000
N 2.212 0.000 2.677
N 13.178 0.000 5.163
Cl 0.727 0.000 6.481
Cl 7.695 0.000 3.920
Cl 14.663 0.000 1.360



# 5
! PBE PrGeN2Cl, optimized geometry; values from VASP
! Electronic total energy (eV per formula unit): -32.06
! Raw formation energy (eV per atom): -0.8335
&SYSTEM
  ibrav = 0, nat = 10, ntyp = 4
/
ATOMIC_SPECIES
Pr 140.91 Pr.upf
Ge 72.64 Ge.upf
N 14.01 N.upf
Cl 35.45 Cl.upf
CELL_PARAMETERS angstrom
7.301 0.000 0.000
0.000 3.650 0.000
-1.762 0.000 7.911
ATOMIC_POSITIONS angstrom
Pr 0.686 0.913 3.700
Pr 4.852 2.738 4.211
Ge -1.193 0.913 6.996
Ge 6.731 2.738 0.914
N -0.504 2.738 2.762
N -0.825 2.738 7.662
N 6.364 0.913 0.249
N 6.043 0.913 5.149
Cl 2.177 2.738 5.461
Cl 3.362 0.913 2.450



# 6
! PBE GeSN2Cl, optimized geometry; values from VASP
! Energy above the lowest structure with this stoichiometry (eV per formula unit): 3.88
! Electronic total energy (eV per formula unit): -16.75
! Raw formation energy (eV per atom): 2.0994
&SYSTEM
  ibrav = 0, nat = 5, ntyp = 4
/
ATOMIC_SPECIES
Ge 72.64 Ge.upf
S 32.06 S.upf
N 14.01 N.upf
Cl 35.45 Cl.upf
CELL_PARAMETERS angstrom
4.018 0.000 0.000
0.000 4.018 0.000
0.000 0.000 4.791
ATOMIC_POSITIONS angstrom
Ge 0.000 0.000 0.000
S 2.009 2.009 0.000
N 0.000 2.009 2.396
N 2.009 0.000 2.396
Cl 2.009 2.009 2.396



# 7
! PBE GeS2NCl, optimized geometry; values from VASP
! Energy above the lowest structure with this stoichiometry (eV per formula unit): 1.94
! Electronic total energy (eV per formula unit): -16.52
! Raw formation energy (eV per atom): 1.3053
&SYSTEM
  ibrav = 0, nat = 5, ntyp = 4
/
ATOMIC_SPECIES
Ge 72.64 Ge.upf
S 32.06 S.upf
N 14.01 N.upf
Cl 35.45 Cl.upf
CELL_PARAMETERS angstrom
4.729 0.000 0.000
0.000 4.729 0.000
0.000 0.000 5.088
ATOMIC_POSITIONS angstrom
Ge 0.000 0.000 0.000
S 0.000 2.364 0.000
S 2.364 0.000 0.000
N 2.364 2.364 2.544
Cl 0.000 0.000 2.544



# 8
! PBE GeS2NCl, optimized geometry; values from VASP
! Energy above the lowest structure with this stoichiometry (eV per formula unit): 0.00
! Electronic total energy (eV per formula unit): -18.46
! Raw formation energy (eV per atom): 0.9174
&SYSTEM
  ibrav = 0, nat = 5, ntyp = 4
/
ATOMIC_SPECIES
Ge 72.64 Ge.upf
S 32.06 S.upf
N 14.01 N.upf
Cl 35.45 Cl.upf
CELL_PARAMETERS angstrom
4.124 0.000 0.000
0.000 4.124 0.000
0.000 0.000 4.678
ATOMIC_POSITIONS angstrom
Ge 0.000 0.000 0.000
S 0.000 2.062 2.339
S 2.062 0.000 2.339
N 2.062 2.062 2.339
Cl 2.062 2.062 0.000



# 9
! PBE GeS2NCl, optimized geometry; values from VASP
! Energy above the lowest structure with this stoichiometry (eV per formula unit): 2.81
! Electronic total energy (eV per formula unit): -15.65
! Raw formation energy (eV per atom): 1.4790
&SYSTEM
  ibrav = 0, nat = 5, ntyp = 4
/
ATOMIC_SPECIES
Ge 72.64 Ge.upf
S 32.06 S.upf
N 14.01 N.upf
Cl 35.45 Cl.upf
CELL_PARAMETERS angstrom
4.873 0.000 0.000
0.000 4.873 0.000
0.000 0.000 3.808
ATOMIC_POSITIONS angstrom
Ge 0.000 0.000 0.000
S 0.000 2.436 1.904
S 2.436 0.000 1.904
N 2.436 2.436 0.000
Cl 2.436 2.436 1.904



# 10
! PBE GeSNCl2, optimized geometry; values from VASP
! Energy above the lowest structure with this stoichiometry (eV per formula unit): 0.63
! Electronic total energy (eV per formula unit): -15.88
! Raw formation energy (eV per atom): 0.9758
&SYSTEM
  ibrav = 0, nat = 5, ntyp = 4
/
ATOMIC_SPECIES
Ge 72.64 Ge.upf
S 32.06 S.upf
N 14.01 N.upf
Cl 35.45 Cl.upf
CELL_PARAMETERS angstrom
5.008 0.000 0.000
0.000 5.008 0.000
0.000 0.000 4.689
ATOMIC_POSITIONS angstrom
Ge 0.000 0.000 0.000
S 0.000 0.000 2.344
N 2.504 2.504 2.344
Cl 0.000 2.504 0.000
Cl 2.504 0.000 0.000



# 11
! PBE GeSN2Cl, optimized geometry; values from VASP
! Energy above the lowest structure with this stoichiometry (eV per formula unit): 0.00
! Electronic total energy (eV per formula unit): -20.63
! Raw formation energy (eV per atom): 1.3232
&SYSTEM
  ibrav = 0, nat = 5, ntyp = 4
/
ATOMIC_SPECIES
Ge 72.64 Ge.upf
S 32.06 S.upf
N 14.01 N.upf
Cl 35.45 Cl.upf
CELL_PARAMETERS angstrom
3.647 0.000 0.000
0.000 3.647 0.000
0.000 0.000 6.235
ATOMIC_POSITIONS angstrom
Ge 0.000 0.000 0.000
S 0.000 0.000 3.117
N 0.000 1.823 0.000
N 1.823 0.000 0.000
Cl 1.823 1.823 3.117



# 12
! PBE GeS2NCl, optimized geometry; values from VASP
! Energy above the lowest structure with this stoichiometry (eV per formula unit): 0.71
! Electronic total energy (eV per formula unit): -17.75
! Raw formation energy (eV per atom): 1.0595
&SYSTEM
  ibrav = 0, nat = 5, ntyp = 4
/
ATOMIC_SPECIES
Ge 72.64 Ge.upf
S 32.06 S.upf
N 14.01 N.upf
Cl 35.45 Cl.upf
CELL_PARAMETERS angstrom
4.979 0.000 0.000
0.000 4.979 0.000
0.000 0.000 3.639
ATOMIC_POSITIONS angstrom
Ge 0.000 0.000 0.000
S 0.000 2.489 0.000
S 2.489 0.000 0.000
N 0.000 0.000 1.819
Cl 2.489 2.489 1.819